[1]
DFT (PBE-GGA) results for a relaxed NbHPd crystal.

abc: 4.6336 2.8535 11.0273
angles: 90.00 90.00 90.00
Closest atoms and distances in Å follow each position.
Fractional coordinates of all 12 atoms:
Nb  0.5000  0.5000  0.6754  2 H 1.90
Pd  0.0000  0.0000  0.7612  4 Pd 2.72-2.85, 7 Nb 2.88-2.95
Nb  0.0000  0.5000  0.9957  4 H 1.92
H  0.7384  0.0000  0.0357  3 Nb 1.90-1.92, 1 Pd 1.94
H  0.2616  0.5000  0.5357  3 Nb 1.90-1.92, 1 Pd 1.94
Pd  0.5000  0.5000  0.3905  2 H 1.94
Nb  0.5000  0.0000  0.1754  2 H 1.90
H  0.2616  0.0000  0.0357  3 Nb 1.90-1.92, 1 Pd 1.94
H  0.7384  0.5000  0.5357  3 Nb 1.90-1.92, 1 Pd 1.94
Nb  0.0000  0.0000  0.4957  4 H 1.92
Pd  0.0000  0.5000  0.2612  4 Pd 2.72-2.85, 7 Nb 2.88-2.95
Pd  0.5000  0.0000  0.8905  2 H 1.94

SG: Amm2
Energy above the most stable polymorph in this dataset: 0.57 kcal/mol of atoms
V: 36.4 Å³/f.u.

[2]
DFT (PBE-GGA) results for a relaxed K2Be2SbO6 crystal.

abc: 5.4180 5.4180 6.4319
angles: 90.00 90.00 120.00
Closest atoms and distances in Å follow each position.
Fractional coordinates of all 11 atoms:
O  0.1710  0.8290  0.8154  1 Be 1.53
O  0.1710  0.3420  0.8154  1 Be 1.53
Sb  0.0000  0.0000  0.0000  6 O 2.00
O  0.3420  0.1710  0.1846  1 Be 1.53
O  0.6580  0.8290  0.8154  1 Be 1.53
Be  0.6667  0.3333  0.1616  3 O 1.53
O  0.8290  0.6580  0.1846  1 Be 1.53
K  0.6667  0.3333  0.6616  6 O 2.88, 2 Be 3.22
Be  0.3333  0.6667  0.8384  3 O 1.53
K  0.3333  0.6667  0.3384  6 O 2.88, 2 Be 3.22
O  0.8290  0.1710  0.1846  1 Be 1.53

Raw formation energy: -1.7907 eV/atom
SG: P-3m1
V: 163.5 Å³/f.u.

[3]
DFT (PBE-GGA) results for a relaxed La2Pr2Hg crystal.

abc: 8.7777 6.5131 9.4274
angles: 68.33 56.77 47.64
Closest atoms and distances in Å follow each position.
Fractional coordinates of all 10 atoms:
La  0.3940  0.0000  0.8864  4 Hg 3.40-3.68, 4 Pr 3.46-3.60, 3 La 3.52-3.70
La  0.6060  0.0000  0.1136  4 Hg 3.40-3.68, 4 Pr 3.46-3.60, 3 La 3.52-3.70
Pr  0.6756  0.3776  0.7201  2 Hg 3.15-3.45, 2 La 3.46-3.50, 1 Pr 3.47
La  0.2643  0.0000  0.5767  4 Pr 3.50-3.59, 3 La 3.56-3.70, 2 Hg 3.70
Pr  0.3244  0.6224  0.2799  2 Hg 3.15-3.45, 2 La 3.46-3.50, 1 Pr 3.47
Hg  0.1646  0.6709  0.0000  4 Pr 3.15-3.45, 1 Hg 3.17, 2 La 3.40
Hg  0.8354  0.3291  0.0000  4 Pr 3.15-3.45, 1 Hg 3.17, 2 La 3.40
Pr  0.9468  0.3776  0.2799  2 Hg 3.15-3.45, 2 La 3.46-3.50, 1 Pr 3.47
Pr  0.0532  0.6224  0.7201  2 Hg 3.15-3.45, 2 La 3.46-3.50, 1 Pr 3.47
La  0.7357  0.0000  0.4233  4 Pr 3.50-3.59, 3 La 3.56-3.70, 2 Hg 3.70

SG: C2/m
Energy above the most stable polymorph in this dataset: 1.65 kcal/mol of atoms
V: 166.5 Å³/f.u.
ΔE_f: -0.1188 eV/atom

[4]
DFT (PBE-GGA) results for a relaxed FeTc2Br crystal.

abc: 8.4590 8.4590 8.4590
angles: 19.81 19.81 19.81
Closest atoms and distances in Å follow each position.
Fractional coordinates of all 4 atoms:
Fe  0.7500  0.7500  0.7500  6 Tc 2.59
Br  0.2500  0.2500  0.2500  6 Tc 2.75, 6 Br 2.91
Tc  0.4957  0.4957  0.4957  3 Fe 2.59, 3 Br 2.75
Tc  0.0043  0.0043  0.0043  3 Fe 2.59, 3 Br 2.75

Raw formation energy: 0.6422 eV/atom
SG: R-3m
Energy above the most stable polymorph in this dataset: 4.96 kcal/mol of atoms
V: 60.8 Å³/f.u.

[5]
DFT (PBE-GGA) results for a relaxed Zn2ReRu crystal.

abc: 9.1624 9.1624 9.1624
angles: 17.29 17.29 17.29
Closest atoms and distances in Å follow each position.
Fractional coordinates of all 4 atoms:
Zn  0.0036  0.0036  0.0036  3 Ru 2.74, 9 Zn 2.76-2.90
Re  0.4961  0.4961  0.4961  3 Ru 2.61, 6 Re 2.76, 3 Zn 2.79
Ru  0.7529  0.7529  0.7529  3 Re 2.61, 3 Zn 2.74, 6 Ru 2.76
Zn  0.2473  0.2473  0.2473  9 Zn 2.76-2.90, 3 Re 2.79

SG: R3m
Energy above the most stable polymorph in this dataset: 1.71 kcal/mol of atoms
V: 59.3 Å³/f.u.
ΔE_f: 0.0463 eV/atom

[6]
DFT (PBE-GGA) results for a relaxed ScTaPtO6 crystal.

abc: 4.7616 4.7616 9.4793
angles: 90.00 90.00 90.00
Closest atoms and distances in Å follow each position.
Fractional coordinates of all 18 atoms:
O  0.8144  0.1856  0.5030  1 Ta 2.03, 1 Pt 2.04, 1 Sc 2.12
Pt  0.0000  0.0000  0.3328  6 O 2.03-2.05
Ta  0.5000  0.5000  0.1715  6 O 1.97-2.03
O  0.1996  0.8004  0.1700  1 Ta 2.02, 1 Pt 2.05, 1 Sc 2.07
Sc  0.0000  0.0000  0.0042  6 O 2.07-2.18
Sc  0.5000  0.5000  0.5042  6 O 2.07-2.18
O  0.8004  0.1996  0.1700  1 Ta 2.02, 1 Pt 2.05, 1 Sc 2.07
O  0.3005  0.3005  0.3228  1 Ta 1.97, 1 Pt 2.03, 1 Sc 2.18
O  0.6996  0.6996  0.6700  1 Ta 2.02, 1 Pt 2.05, 1 Sc 2.07
O  0.6856  0.6856  0.0030  1 Ta 2.03, 1 Pt 2.04, 1 Sc 2.12
O  0.6995  0.6995  0.3228  1 Ta 1.97, 1 Pt 2.03, 1 Sc 2.18
O  0.3004  0.3004  0.6700  1 Ta 2.02, 1 Pt 2.05, 1 Sc 2.07
O  0.8005  0.1995  0.8228  1 Ta 1.97, 1 Pt 2.03, 1 Sc 2.18
Ta  0.0000  0.0000  0.6715  6 O 1.97-2.03
O  0.1856  0.8144  0.5030  1 Ta 2.03, 1 Pt 2.04, 1 Sc 2.12
Pt  0.5000  0.5000  0.8328  6 O 2.03-2.05
O  0.1995  0.8005  0.8228  1 Ta 1.97, 1 Pt 2.03, 1 Sc 2.18
O  0.3144  0.3144  0.0030  1 Ta 2.03, 1 Pt 2.04, 1 Sc 2.12

Raw formation energy: -2.2301 eV/atom
SG: P4_2nm
V: 107.5 Å³/f.u.

[7]
DFT (PBE-GGA) results for a relaxed K12Rb3Ag5 crystal.

abc: 19.2133 19.2133 19.2133
angles: 109.47 109.47 109.47
Closest atoms and distances in Å follow each position.
Fractional coordinates of all 80 atoms:
Ag  0.0000  0.0000  0.5000  6 K 3.40
K  0.8109  0.4937  0.4102  2 Ag 3.28-3.40
K  0.8109  0.3173  0.9007  2 Ag 3.28-3.40
K  0.1827  0.0834  0.9937  2 Ag 3.28-3.40
K  0.3109  0.9102  0.9937  2 Ag 3.28-3.40
K  0.4166  0.4102  0.5993  2 Ag 3.28-3.40
K  0.4007  0.0898  0.5834  2 Ag 3.28-3.40
K  0.0993  0.1827  0.1891  2 Ag 3.28-3.40
K  0.5898  0.0063  0.1891  2 Ag 3.28-3.40
K  0.0834  0.1827  0.4937  2 Ag 3.28-3.40
Ag  0.2500  0.3750  0.6250  4 K 3.28
Rb  0.6250  0.3750  0.7500  8 K 4.50-4.71
Rb  0.3750  0.6250  0.2500  8 K 4.50-4.71
K  0.9102  0.3109  0.4937  2 Ag 3.28-3.40
K  0.8173  0.9166  0.0063  2 Ag 3.28-3.40
Ag  0.3750  0.2500  0.1250  4 K 3.28
K  0.4102  0.9937  0.8109  2 Ag 3.28-3.40
K  0.0993  0.9166  0.4102  2 Ag 3.28-3.40
K  0.1827  0.0993  0.6891  2 Ag 3.28-3.40
K  0.9166  0.0993  0.9102  2 Ag 3.28-3.40
Ag  0.7500  0.6250  0.3750  4 K 3.28
K  0.5993  0.9102  0.4166  2 Ag 3.28-3.40
Ag  0.8750  0.2500  0.6250  4 K 3.28
K  0.3109  0.4007  0.8173  2 Ag 3.28-3.40
Rb  0.6250  0.2500  0.3750  8 K 4.50-4.71
K  0.5993  0.6891  0.6827  2 Ag 3.28-3.40
K  0.4102  0.4166  0.0993  2 Ag 3.28-3.40
K  0.9007  0.8173  0.8109  2 Ag 3.28-3.40
K  0.9937  0.5834  0.1827  2 Ag 3.28-3.40
K  0.9166  0.8173  0.5063  2 Ag 3.28-3.40
K  0.6891  0.0898  0.0063  2 Ag 3.28-3.40
K  0.4937  0.6827  0.0834  2 Ag 3.28-3.40
Ag  0.2500  0.8750  0.1250  4 K 3.28
Ag  0.8750  0.6250  0.7500  4 K 3.28
K  0.5063  0.1891  0.0898  2 Ag 3.28-3.40
Rb  0.1250  0.2500  0.8750  8 K 4.50-4.71
Ag  0.5000  0.0000  0.5000  6 K 3.40
Ag  0.1250  0.7500  0.3750  4 K 3.28
K  0.3173  0.8109  0.4007  2 Ag 3.28-3.40
K  0.5834  0.9937  0.6827  2 Ag 3.28-3.40
Rb  0.2500  0.1250  0.3750  8 K 4.50-4.71
K  0.1891  0.6827  0.0993  2 Ag 3.28-3.40
K  0.0063  0.5898  0.6891  2 Ag 3.28-3.40
K  0.3173  0.5063  0.4166  2 Ag 3.28-3.40
Ag  0.6250  0.7500  0.8750  4 K 3.28
Ag  0.5000  0.5000  0.5000  6 K 3.40
K  0.0063  0.4166  0.8173  2 Ag 3.28-3.40
Ag  0.5000  0.0000  0.0000  6 K 3.40
K  0.4166  0.0063  0.3173  2 Ag 3.28-3.40
Rb  0.7500  0.3750  0.1250  8 K 4.50-4.71
Ag  0.1250  0.3750  0.2500  4 K 3.28
K  0.0898  0.6891  0.5063  2 Ag 3.28-3.40
K  0.9007  0.0834  0.5898  2 Ag 3.28-3.40
Ag  0.0000  0.5000  0.5000  6 K 3.40
Rb  0.3750  0.7500  0.6250  8 K 4.50-4.71
K  0.5063  0.3173  0.9166  2 Ag 3.28-3.40
Rb  0.7500  0.8750  0.6250  8 K 4.50-4.71
Rb  0.1250  0.8750  0.7500  8 K 4.50-4.71
Ag  0.0000  0.0000  0.0000  6 K 3.40
K  0.6827  0.1891  0.5993  2 Ag 3.28-3.40
K  0.0898  0.4007  0.0834  2 Ag 3.28-3.40
K  0.4937  0.8109  0.9102  2 Ag 3.28-3.40
Ag  0.7500  0.1250  0.8750  4 K 3.28
Rb  0.8750  0.7500  0.1250  8 K 4.50-4.71
Ag  0.6250  0.8750  0.2500  4 K 3.28
K  0.9102  0.5993  0.9166  2 Ag 3.28-3.40
K  0.5834  0.5898  0.4007  2 Ag 3.28-3.40
K  0.9937  0.4102  0.3109  2 Ag 3.28-3.40
K  0.4007  0.3109  0.3173  2 Ag 3.28-3.40
K  0.0834  0.9007  0.0898  2 Ag 3.28-3.40
K  0.1891  0.5063  0.5898  2 Ag 3.28-3.40
Rb  0.2500  0.6250  0.8750  8 K 4.50-4.71
Ag  0.3750  0.1250  0.7500  4 K 3.28
K  0.5898  0.5834  0.9007  2 Ag 3.28-3.40
K  0.6827  0.4937  0.5834  2 Ag 3.28-3.40
K  0.8173  0.9007  0.3109  2 Ag 3.28-3.40
Rb  0.8750  0.1250  0.2500  8 K 4.50-4.71
Ag  0.0000  0.5000  0.0000  6 K 3.40
Ag  0.5000  0.5000  0.0000  6 K 3.40
K  0.6891  0.5993  0.1827  2 Ag 3.28-3.40

SG: Ia-3d
V: 1365.0 Å³/f.u.
ΔE_f: 0.1596 eV/atom

[8]
DFT (PBE-GGA) results for a relaxed AcCeSbTe crystal.

abc: 5.4290 5.4290 12.4814
angles: 77.44 77.44 60.00
Closest atoms and distances in Å follow each position.
Fractional coordinates of all 8 atoms:
Ce  0.6140  0.6140  0.1579  4 Te 3.18-3.20
Sb  0.1051  0.1051  0.6847  4 Ac 3.26-3.57
Ce  0.3860  0.3860  0.8421  4 Te 3.18-3.20
Te  0.2982  0.2982  0.1053  4 Ce 3.18-3.20, 1 Ac 3.43
Te  0.7018  0.7018  0.8947  4 Ce 3.18-3.20, 1 Ac 3.43
Sb  0.8949  0.8949  0.3153  4 Ac 3.26-3.57
Ac  0.7964  0.7964  0.6108  4 Sb 3.26-3.57, 1 Te 3.43
Ac  0.2036  0.2036  0.3892  4 Sb 3.26-3.57, 1 Te 3.43

Raw formation energy: -0.9639 eV/atom
SG: R-3m
Energy above the most stable polymorph in this dataset: 3.21 kcal/mol of atoms
V: 154.2 Å³/f.u.

[9]
DFT (PBE-GGA) results for a relaxed Pm3NdSm2Ho6 crystal.

abc: 6.2244 6.2244 11.7951
angles: 95.03 95.03 119.98
Closest atoms and distances in Å follow each position.
Fractional coordinates of all 12 atoms:
Ho  0.5830  0.9165  0.7501  2 Sm 3.57, 3 Pm 3.57, 1 Nd 3.57, 6 Ho 3.59-3.60
Ho  0.0835  0.4170  0.2499  2 Sm 3.57, 3 Pm 3.57, 1 Nd 3.57, 6 Ho 3.59-3.60
Pm  0.1667  0.8333  0.5000  6 Ho 3.57, 6 Pm 3.59-3.60
Pm  0.5000  0.5000  0.5000  6 Ho 3.57, 6 Pm 3.59
Ho  0.4170  0.0835  0.2499  2 Sm 3.57, 3 Pm 3.57, 1 Nd 3.57, 6 Ho 3.59-3.60
Pm  0.8333  0.1667  0.5000  6 Ho 3.57, 6 Pm 3.59-3.60
Ho  0.2501  0.2501  0.7501  1 Nd 3.57, 2 Sm 3.57, 3 Pm 3.57, 6 Ho 3.59-3.60
Nd  0.0000  0.0000  0.0000  6 Ho 3.57, 6 Sm 3.59
Sm  0.3333  0.6667  0.0000  6 Ho 3.57, 3 Nd 3.59, 3 Sm 3.59
Sm  0.6667  0.3333  0.0000  6 Ho 3.57, 3 Nd 3.59, 3 Sm 3.59
Ho  0.7499  0.7499  0.2499  1 Nd 3.57, 2 Sm 3.57, 3 Pm 3.57, 6 Ho 3.59-3.60
Ho  0.9165  0.5830  0.7501  2 Sm 3.57, 3 Pm 3.57, 1 Nd 3.57, 6 Ho 3.59-3.60

SG: C2/m
V: 389.7 Å³/f.u.
ΔE_f: 0.0132 eV/atom

[10]
DFT (PBE-GGA) results for a relaxed Te2SICl crystal.

abc: 5.3180 5.3180 5.4893
angles: 90.00 90.00 90.00
Closest atoms and distances in Å follow each position.
Fractional coordinates of all 5 atoms:
Te  0.0000  0.5000  0.0000  2 S 2.66
Cl  0.5000  0.5000  0.5000  4 I 3.76, 8 Te 3.82
S  0.0000  0.0000  0.0000  4 Te 2.66, 2 I 2.74
I  0.0000  0.0000  0.5000  2 S 2.74
Te  0.5000  0.0000  0.0000  2 S 2.66

Raw formation energy: 0.5013 eV/atom
SG: P4/mmm
Energy above the most stable polymorph in this dataset: 0.00 kcal/mol of atoms
V: 155.2 Å³/f.u.

- Which of these has the lowest V?
  NbHPd